Material: Ce6In2Ga
Method: DFT, PBE
State: relaxed

Values from the calculation:
ΔH_f (0 K)   0.03 eV/atom
Polymorph energy (0 for the lowest one)   2.46 eV per formula unit
Electronic total energy   -4.876 eV per atom
Symmetry   C2/m

Structure (extended XYZ):
```
9
Lattice="8.182 -3.458 0.000 8.182 3.458 0.000 -1.077 0.000 5.016" Properties=species:S:1:pos:R:3 pbc="T T T"
Ce 5.146 2.050 1.540
Ce 8.182 2.032 0.000
Ce 10.141 2.050 3.475
Ce 5.146 -2.050 1.540
Ce 8.182 -2.032 0.000
Ce 10.141 -2.050 3.475
In 4.784 0.000 4.078
In 10.504 0.000 0.938
Ga -0.538 0.000 2.508
```